Record 1
Here is a relaxed Tb2Nd4Er crystal from Alexandria. Energies are from PBE.

Properties
* space-group type: No. 43
* uncorrected energy: -4.640 eV/atom
* calculated formation energy: 40 kJ/mol of formula units

Cell lengths 12.587, 12.587, 6.834 Å; angles 97.02, 97.02, 150.13 degrees
Sites, in units of the cell vectors:
Tb 0.624 0.304 0.452
Tb 0.922 0.102 0.048
Tb 0.102 0.922 0.548
Tb 0.304 0.624 0.952
Nd 0.712 0.174 0.863
Nd 0.174 0.712 0.364
Nd 0.185 0.795 0.896
Nd 0.795 0.185 0.396
Nd 0.040 0.150 0.604
Nd 0.561 0.599 0.137
Nd 0.599 0.561 0.637
Nd 0.150 0.040 0.104
Er 0.421 0.671 0.500
Er 0.671 0.421 0.000



Record 2
Here is a relaxed Cs3InSb crystal from Alexandria. Energies are from PBE.

Properties
* space-group type: No. 221
* uncorrected energy: -1.584 eV/atom
* ΔE_f (raw): 6.9 kcal/mol of atoms

Cell lengths 7.090, 7.090, 7.090 Å; angles 90.00, 90.00, 90.00 degrees
Site moments in Bohr magnetons follow the coordinates.
Sites, in units of the cell vectors:
Cs 0.000 0.500 0.000  0.02
Cs 0.000 0.000 0.500  0.00
Cs 0.500 0.000 0.000  0.03
Sb 0.500 0.500 0.500  0.42
In 0.000 0.000 0.000  0.15



Record 3
Here is a relaxed KTcW2 crystal from Alexandria. Energies are from PBE.

Properties
* space-group type: No. 123
* uncorrected energy: -8.370 eV/atom
* calculated formation energy: 375 kJ/mol of formula units

Cell lengths 2.803, 2.803, 10.162 Å; angles 90.00, 90.00, 90.00 degrees
Sites, in units of the cell vectors:
K 0.500 0.500 0.250
Tc 0.500 0.500 0.750
W 0.000 0.000 0.936
W 0.000 0.000 0.564